The following is a PBEsol calculation of a geometry-optimized AlCu5 structure, from the Alexandria database.

Output
- VASP energy: -26.22 eV per cell
- Calculated volume: 11.7 Å³ per atom
- Symmetry: P4/mmm (123)

a = 2.9371 Å, b = 2.9371 Å, c = 8.1626 Å
α = 90.00°, β = 90.00°, γ = 90.00°
With the nearest neighbours (Å) after each atom.
Fractional positions:
Al 0.5000 0.5000 0.0000  10 Cu 2.51-2.76
Cu 0.5000 0.5000 0.6621  9 Cu 2.46-2.65
Cu 0.5000 0.5000 0.3379  9 Cu 2.46-2.65
Cu 0.0000 0.0000 0.5000  10 Cu 2.46-2.67
Cu 0.0000 0.0000 0.8272  5 Cu 2.48-2.67, 4 Al 2.51
Cu 0.0000 0.0000 0.1728  5 Cu 2.48-2.67, 4 Al 2.51

The following is a PBEsol calculation of a geometry-optimized Al3Cu structure, from the Alexandria database.

Output
- VASP energy: -16.56 eV per cell
- Calculated volume: 15.3 Å³ per atom
- Symmetry: Immm (71)

a = 2.6568 Å, b = 4.5868 Å, c = 5.6674 Å
α = 113.87°, β = 103.56°, γ = 90.00°
With the nearest neighbours (Å) after each atom.
Fractional positions:
Al 0.7180 0.7180 0.4359  2 Cu 2.56, 6 Al 2.66-2.73
Al 0.2820 0.2820 0.5641  2 Cu 2.56, 6 Al 2.66-2.73
Al 0.5000 0.0000 0.0000  4 Cu 2.65, 2 Al 2.66
Cu 0.0000 0.5000 0.0000  8 Al 2.56-2.65, 2 Cu 2.66

The following is a PBEsol calculation of a geometry-optimized Al3Cu structure, from the Alexandria database.

Output
- VASP energy: -67.94 eV per cell
- Calculated volume: 15.2 Å³ per atom
- Symmetry: Pnma (62)

a = 4.9809 Å, b = 6.4043 Å, c = 7.6076 Å
α = 90.00°, β = 90.00°, γ = 90.00°
With the nearest neighbours (Å) after each atom.
Fractional positions:
Al 0.4180 0.4980 0.7500  3 Cu 2.49-2.72
Al 0.3499 0.8234 0.4546  3 Cu 2.49-2.52, 2 Al 2.75
Al 0.1501 0.3234 0.0454  3 Cu 2.49-2.52, 2 Al 2.75
Al 0.9180 0.0020 0.2500  3 Cu 2.49-2.72
Al 0.6501 0.1766 0.9546  3 Cu 2.49-2.52, 2 Al 2.75
Al 0.6501 0.1766 0.5454  3 Cu 2.49-2.52, 2 Al 2.75
Al 0.3499 0.8234 0.0454  3 Cu 2.49-2.52, 2 Al 2.75
Al 0.8499 0.6766 0.9546  3 Cu 2.49-2.52, 2 Al 2.75
Al 0.8499 0.6766 0.5454  3 Cu 2.49-2.52, 2 Al 2.75
Al 0.0820 0.9980 0.7500  3 Cu 2.49-2.72
Al 0.1501 0.3234 0.4546  3 Cu 2.49-2.52, 2 Al 2.75
Al 0.5820 0.5020 0.2500  3 Cu 2.49-2.72
Cu 0.4422 0.1237 0.2500  9 Al 2.49-2.72
Cu 0.0578 0.6237 0.2500  9 Al 2.49-2.72
Cu 0.9422 0.3763 0.7500  9 Al 2.49-2.72
Cu 0.5578 0.8763 0.7500  9 Al 2.49-2.72

The following is a PBEsol calculation of a geometry-optimized Al4Cu15 structure, from the Alexandria database.

Output
- VASP energy: -83.30 eV per cell
- Calculated volume: 12.2 Å³ per atom
- Symmetry: P4/mmm (123)

a = 3.5993 Å, b = 3.5993 Å, c = 17.8223 Å
α = 90.00°, β = 90.00°, γ = 90.00°
With the nearest neighbours (Å) after each atom.
Fractional positions:
Cu 0.5000 0.0000 0.5000  8 Cu 2.55-2.58, 4 Al 2.57
Cu 0.5000 0.0000 0.9109  8 Cu 2.40-2.55, 2 Al 2.55
Cu 0.5000 0.0000 0.7064  8 Cu 2.55-2.57, 4 Al 2.57-2.58
Cu 0.5000 0.0000 0.2936  8 Cu 2.55-2.57, 4 Al 2.57-2.58
Cu 0.5000 0.5000 0.3966  4 Al 2.55, 8 Cu 2.57-2.58
Cu 0.5000 0.5000 0.0000  8 Cu 2.40
Cu 0.5000 0.0000 0.0891  8 Cu 2.40-2.55, 2 Al 2.55
Cu 0.5000 0.5000 0.8094  4 Al 2.55, 8 Cu 2.55-2.57
Cu 0.5000 0.5000 0.6034  4 Al 2.55, 8 Cu 2.57-2.58
Cu 0.0000 0.5000 0.2936  8 Cu 2.55-2.57, 4 Al 2.57-2.58
Cu 0.0000 0.5000 0.0891  8 Cu 2.40-2.55, 2 Al 2.55
Cu 0.0000 0.5000 0.7064  8 Cu 2.55-2.57, 4 Al 2.57-2.58
Cu 0.0000 0.5000 0.5000  8 Cu 2.55-2.58, 4 Al 2.57
Cu 0.0000 0.5000 0.9109  8 Cu 2.40-2.55, 2 Al 2.55
Cu 0.5000 0.5000 0.1906  4 Al 2.55, 8 Cu 2.55-2.57
Al 0.0000 0.0000 0.6031  12 Cu 2.55-2.58
Al 0.0000 0.0000 0.3969  12 Cu 2.55-2.58
Al 0.0000 0.0000 0.8096  12 Cu 2.55-2.57
Al 0.0000 0.0000 0.1904  12 Cu 2.55-2.57

The following is a PBEsol calculation of a geometry-optimized Al4Cu5 structure, from the Alexandria database.

Output
- Calculated volume: 12.9 Å³ per atom
- Symmetry: P6_3/mcm (193)
- Excess energy over the best structure of this formula in the dataset: 35.2 meV per atom

a = 5.1349 Å, b = 7.2173 Å, c = 7.2173 Å
α = 120.00°, β = 90.00°, γ = 90.00°
With the nearest neighbours (Å) after each atom.
Fractional positions:
Al 0.0000 0.0000 0.0000  8 Al 2.57-2.87, 6 Cu 2.61
Al 0.2500 0.3557 0.3557  9 Cu 2.38-2.66
Al 0.7500 0.0000 0.3557  9 Cu 2.38-2.66
Al 0.7500 0.6443 0.6443  9 Cu 2.38-2.66
Al 0.7500 0.3557 0.0000  9 Cu 2.38-2.66
Al 0.2500 0.0000 0.6443  9 Cu 2.38-2.66
Al 0.2500 0.6443 0.0000  9 Cu 2.38-2.66
Al 0.5000 0.0000 0.0000  8 Al 2.57-2.87, 6 Cu 2.61
Cu 0.7500 0.6852 0.0000  7 Al 2.38-2.61
Cu 0.5000 0.3333 0.6667  8 Cu 2.57-2.79, 6 Al 2.66
Cu 0.2500 0.6852 0.6852  7 Al 2.38-2.61
Cu 0.2500 0.3148 0.0000  7 Al 2.38-2.61
Cu 0.0000 0.6667 0.3333  8 Cu 2.57-2.79, 6 Al 2.66
Cu 0.7500 0.3148 0.3148  7 Al 2.38-2.61
Cu 0.7500 0.0000 0.6852  7 Al 2.38-2.61
Cu 0.5000 0.6667 0.3333  8 Cu 2.57-2.79, 6 Al 2.66
Cu 0.0000 0.3333 0.6667  8 Cu 2.57-2.79, 6 Al 2.66
Cu 0.2500 0.0000 0.3148  7 Al 2.38-2.61

The following is a PBEsol calculation of a geometry-optimized Al5Cu3 structure, from the Alexandria database.

Output
- VASP energy: -34.14 eV per cell
- Calculated volume: 13.9 Å³ per atom
- Symmetry: Cmmm (65)

a = 3.8414 Å, b = 5.3870 Å, c = 5.3870 Å
α = 92.56°, β = 90.00°, γ = 90.00°
With the nearest neighbours (Å) after each atom.
Fractional positions:
Al 0.0000 0.0000 0.5000  6 Cu 2.68-2.69, 6 Al 2.69-2.74
Al 0.5000 0.2725 0.2725  6 Cu 2.56-2.74, 6 Al 2.74-2.79
Al 0.0000 0.5000 0.0000  6 Cu 2.68-2.69, 6 Al 2.69-2.74
Al 0.5000 0.7275 0.7275  6 Cu 2.56-2.74, 6 Al 2.74-2.79
Al 0.0000 0.0000 0.0000  4 Cu 2.66, 8 Al 2.69-2.79
Cu 0.5000 0.7630 0.2370  10 Al 2.66-2.74, 2 Cu 2.81
Cu 0.5000 0.2370 0.7630  10 Al 2.66-2.74, 2 Cu 2.81
Cu 0.0000 0.5000 0.5000  8 Al 2.56-2.69, 4 Cu 2.81

The following is a PBEsol calculation of a geometry-optimized Al6Cu7 structure, from the Alexandria database.

Output
- VASP energy: -56.90 eV per cell
- Calculated volume: 13.1 Å³ per atom
- Symmetry: R-3m (166)

a = 4.8378 Å, b = 4.8378 Å, c = 8.8480 Å
α = 74.13°, β = 74.13°, γ = 60.00°
With the nearest neighbours (Å) after each atom.
Fractional positions:
Cu 0.4119 0.9141 0.2621  5 Cu 2.41-2.44, 5 Al 2.59-2.68
Cu 0.9141 0.4119 0.2621  5 Cu 2.41-2.44, 5 Al 2.59-2.68
Cu 0.5881 0.0859 0.7379  5 Cu 2.41-2.44, 5 Al 2.59-2.68
Cu 0.0859 0.5881 0.7379  5 Cu 2.41-2.44, 5 Al 2.59-2.68
Cu 0.5000 0.5000 0.5000  6 Cu 2.44
Cu 0.5881 0.5881 0.7379  5 Cu 2.41-2.44, 5 Al 2.59-2.68
Cu 0.4119 0.4119 0.2621  5 Cu 2.41-2.44, 5 Al 2.59-2.68
Al 0.6674 0.6674 0.9979  6 Cu 2.59-2.62, 3 Al 2.79
Al 0.3326 0.3326 0.0021  6 Cu 2.59-2.62, 3 Al 2.79
Al 0.0497 0.0497 0.8509  2 Al 2.50-2.65, 6 Cu 2.60
Al 0.9503 0.9503 0.1491  2 Al 2.50-2.65, 6 Cu 2.60
Al 0.1549 0.1549 0.5353  4 Al 2.65-2.86, 12 Cu 2.68-2.96
Al 0.8451 0.8451 0.4647  4 Al 2.65-2.86, 12 Cu 2.68-2.96

The following is a PBEsol calculation of a geometry-optimized Al3Cu structure, from the Alexandria database.

Output
- VASP energy: -33.49 eV per cell
- Calculated volume: 14.7 Å³ per atom
- Symmetry: I4/mmm (139)

a = 3.8903 Å, b = 3.8903 Å, c = 8.2603 Å
α = 103.62°, β = 103.62°, γ = 90.00°
With the nearest neighbours (Å) after each atom.
Fractional positions:
Al 0.5000 0.0000 0.0000  8 Al 2.74-2.75, 4 Cu 2.77
Al 0.1241 0.1241 0.2483  8 Al 2.74-2.76, 4 Cu 2.75
Al 0.2500 0.7500 0.5000  4 Cu 2.74, 8 Al 2.75-2.76
Al 0.8759 0.8759 0.7517  8 Al 2.74-2.76, 4 Cu 2.75
Al 0.0000 0.5000 0.0000  8 Al 2.74-2.75, 4 Cu 2.77
Al 0.7500 0.2500 0.5000  4 Cu 2.74, 8 Al 2.75-2.76
Cu 0.6264 0.6264 0.2529  12 Al 2.74-2.77
Cu 0.3736 0.3736 0.7471  12 Al 2.74-2.77